[1]
The following is a DFT calculation (PBE) of a relaxed NdDy4Er6 crystal.

Properties
density of states at the Fermi level: 18.74 states/eV/f.u.
V: 1388 Å³ per cell
total magnetic moment: 0.0 μB per cell
energy above the lowest structure with this stoichiometry: 0.000 eV per atom
DFT formation energy: 0.121 eV per atom

Cell: 5.6405 9.6275 25.5644 Å, 90.00 90.00 90.00°
Last column: nearest neighbours and their distance in Å.
Space group Cmcm (No. 63)
One atom of each set of equivalent atoms:
Nd1 0.0000 0.1767 0.2500 [4 per cell]  3 Er 3.22-3.24
Dy1 0.0000 0.1624 0.5417 [8 per cell]  8 Er 3.40-3.68, 2 Dy 3.72-3.78
Dy2 0.0000 0.4863 0.6212 [8 per cell]  5 Er 3.10-3.29
Er1 0.0000 0.1550 0.6807 [8 per cell]  4 Dy 3.53-3.59, 7 Er 3.54-3.82, 3 Nd 3.65-3.70
Er2 0.0000 0.1776 0.1022 [8 per cell]  6 Dy 3.27-3.62
Er3 0.0000 0.4893 0.7500 [4 per cell]  3 Nd 3.22-3.24, 2 Dy 3.29
Er4 0.0000 0.5000 0.0000 [4 per cell]  8 Dy 3.10-3.42


[2]
The following is a DFT calculation (PBE) of a relaxed Nd7Dy6Er16 crystal.

Properties
density of states at the Fermi level: 50.24 states/eV/f.u.
V: 3782 Å³ per cell
total magnetic moment: 0.0 μB per cell
DFT formation energy: 0.191 eV per atom

Cell: 15.5805 15.5805 15.5805 Å, 90.00 90.00 90.00°
Last column: nearest neighbours and their distance in Å.
Space group Fm-3m (No. 225)
One atom of each set of equivalent atoms:
Nd1 0.0000 0.0000 0.0000 [4 per cell]  6 Dy 3.51
Nd2 0.0000 0.2500 0.2500 [24 per cell]  8 Er 3.21-3.49
Dy1 0.0000 0.0000 0.2250 [24 per cell]  8 Er 3.50-3.55, 5 Nd 3.51-3.91
Er1 0.1131 0.1131 0.3869 [32 per cell]  3 Nd 3.49, 6 Er 3.52-3.79, 3 Dy 3.55
Er2 0.1496 0.1496 0.1496 [32 per cell]  3 Nd 3.21, 3 Dy 3.50


[3]
The following is a DFT calculation (PBE) of a relaxed NdDy5Er crystal.

Properties
density of states at the Fermi level: 7.87 states/eV/f.u.
V: 902 Å³ per cell
total magnetic moment: 0.0 μB per cell
energy above the lowest structure with this stoichiometry: 0.000 eV per atom
DFT formation energy: 0.193 eV per atom

Cell: 11.7006 6.7459 12.2268 Å, 90.00 110.75 90.00°
Last column: nearest neighbours and their distance in Å.
Space group C2/c (No. 15)
One atom of each set of equivalent atoms:
Nd1 0.0000 0.0306 0.2500 [4 per cell]  3 Dy 2.97-3.28
Dy1 0.0000 0.4091 0.7500 [4 per cell]  1 Nd 2.97, 2 Dy 2.99
Dy2 0.0792 0.2673 0.5006 [8 per cell]  1 Nd 3.28, 4 Dy 3.30-3.64
Dy3 0.2188 0.3680 0.2452 [8 per cell]  2 Dy 2.99-3.30, 1 Er 3.25
Er1 0.2500 0.2500 0.0000 [4 per cell]  4 Dy 3.25-3.57


[4]
The following is a DFT calculation (PBE) of a relaxed Nd4Dy3Er8 crystal.

Properties
density of states at the Fermi level: 22.00 states/eV/f.u.
V: 1472 Å³ per cell
total magnetic moment: 0.0 μB per cell
energy above the lowest structure with this stoichiometry: 0.000 eV per atom
DFT formation energy: 0.121 eV per atom

Cell: 6.9347 6.9347 35.3536 Å, 90.00 90.00 120.00°
Last column: nearest neighbours and their distance in Å.
Space group R-3m (No. 166, hexagonal axes)
One atom of each set of equivalent atoms:
Nd1 0.0000 0.0000 0.0000 [3 per cell]  6 Dy 3.47, 6 Er 3.53
Nd2 0.0000 0.0000 0.1634 [6 per cell]  4 Er 3.25-3.51
Nd3 0.0000 0.0000 0.5000 [3 per cell]  6 Er 3.59, 6 Nd 4.01
Dy1 0.0000 0.5000 0.0000 [9 per cell]  6 Er 3.41-3.53, 4 Dy 3.47, 2 Nd 3.47
Er1 0.0000 0.0000 0.2553 [6 per cell]  1 Nd 3.25, 3 Dy 3.41, 6 Er 3.47
Er2 0.0018 0.5009 0.2512 [18 per cell]  6 Er 3.45-3.49, 3 Nd 3.51-3.59, 2 Dy 3.53


[5]
The following is a DFT calculation (PBE) of a relaxed NdDy7Er12 crystal.

Properties
density of states at the Fermi level: 24.87 states/eV/f.u.
V: 1398 Å³ per cell
total magnetic moment: 0.0 μB per cell
energy above the lowest structure with this stoichiometry: 0.410 eV per atom
DFT formation energy: 0.718 eV per atom

Cell: 11.1806 11.1806 11.1806 Å, 90.00 90.00 90.00°
Last column: nearest neighbours and their distance in Å.
Space group Im-3m (No. 229)
One atom of each set of equivalent atoms:
Nd1 0.0000 0.0000 0.0000 [2 per cell]  12 Er 4.03
Dy1 0.0000 0.0000 0.5000 [6 per cell]  12 Er 3.88-3.95
Dy2 0.2500 0.2500 0.2500 [8 per cell]  6 Er 2.80
Er1 0.0000 0.2546 0.2546 [24 per cell]  2 Dy 2.80


[6]
The following is a DFT calculation (PBE) of a relaxed Nd5DyEr3 crystal.

Properties
density of states at the Fermi level: 13.32 states/eV/f.u.
V: 1236 Å³ per cell
total magnetic moment: 0.0 μB per cell
energy above the lowest structure with this stoichiometry: 0.036 eV per atom
DFT formation energy: 0.313 eV per atom

Cell: 9.3000 9.3000 14.2925 Å, 90.00 90.00 90.00°
Last column: nearest neighbours and their distance in Å.
Space group I4/mcm (No. 140)
One atom of each set of equivalent atoms:
Nd1 0.0000 0.0000 0.0000 [4 per cell]  6 Er 3.57-3.77, 8 Nd 3.85
Nd2 0.2013 0.2987 0.1324 [16 per cell]  1 Er 3.12, 1 Dy 3.14
Dy1 0.0000 0.5000 0.2500 [4 per cell]  4 Nd 3.14
Er1 0.0000 0.0000 0.2500 [4 per cell]  10 Nd 3.57-3.75
Er2 0.1097 0.3903 0.5000 [8 per cell]  1 Er 2.88, 2 Nd 3.12


[7]
The following is a DFT calculation (PBE) of a relaxed Nd2Dy9Er crystal.

Properties
density of states at the Fermi level: 19.23 states/eV/f.u.
V: 384 Å³ per cell
total magnetic moment: 0.0 μB per cell
energy above the lowest structure with this stoichiometry: 0.047 eV per atom
DFT formation energy: 0.069 eV per atom

Cell: 11.2645 11.2645 3.4907 Å, 90.00 90.00 120.00°
Last column: nearest neighbours and their distance in Å.
Space group P6/mmm (No. 191)
One atom of each set of equivalent atoms:
Nd1 0.3333 0.6667 0.0000 [2 per cell]  9 Dy 3.25-3.58, 2 Nd 3.49
Dy1 0.0000 0.5000 0.0000 [3 per cell]  2 Nd 3.25, 10 Dy 3.49-3.64
Dy2 0.1730 0.3460 0.5000 [6 per cell]  8 Dy 3.38-3.64, 2 Nd 3.58
Er1 0.0000 0.0000 0.0000 [1 per cell]  2 Er 3.49, 12 Dy 3.80


[8]
The following is a DFT calculation (PBE) of a relaxed NdDy5Er5 crystal.

Properties
density of states at the Fermi level: 18.44 states/eV/f.u.
V: 364 Å³ per cell
total magnetic moment: 0.0 μB per cell
DFT formation energy: 0.328 eV per atom

Cell: 6.0573 6.0573 11.4448 Å, 90.00 90.00 120.00°
Last column: nearest neighbours and their distance in Å.
Space group P-6m2 (No. 187)
One atom of each set of equivalent atoms:
Nd1 0.0000 0.0000 0.0000 [1 per cell]  5 Er 3.50-3.74
Dy1 0.0028 0.5014 0.5000 [3 per cell]  6 Dy 3.00-3.23
Dy2 0.6667 0.3333 0.2639 [2 per cell]  1 Er 3.02, 3 Dy 3.23
Er1 0.0000 0.0000 0.3271 [2 per cell]  9 Dy 3.57-3.62, 1 Nd 3.74, 4 Er 3.96-3.99
Er2 0.3333 0.6667 0.1596 [2 per cell]  7 Er 3.65-3.99, 3 Dy 3.70, 3 Nd 3.95
Er3 0.6667 0.3333 0.0000 [1 per cell]  2 Dy 3.02


[9]
The following is a DFT calculation (PBE) of a relaxed Nd2Dy7Er crystal.

Properties
density of states at the Fermi level: 15.96 states/eV/f.u.
V: 763 Å³ per cell
total magnetic moment: 0.0 μB per cell
energy above the lowest structure with this stoichiometry: 0.584 eV per atom
DFT formation energy: 0.740 eV per atom

Cell: 8.9314 14.8996 5.7328 Å, 90.00 90.00 90.00°
Last column: nearest neighbours and their distance in Å.
Space group Cmmm (No. 65)
One atom of each set of equivalent atoms:
Nd1 0.0000 0.2114 0.0000 [4 per cell]  7 Dy 2.87-3.18
Dy1 0.0000 0.0000 0.0000 [2 per cell]  2 Nd 3.15, 4 Dy 3.29
Dy2 0.0000 0.2175 0.5000 [4 per cell]  2 Nd 2.87
Dy3 0.1843 0.3867 0.0000 [8 per cell]  2 Nd 3.09-3.18, 3 Dy 3.29-3.38
Er1 0.0000 0.5000 0.5000 [2 per cell]  8 Dy 3.71


[10]
The following is a DFT calculation (PBE) of a relaxed Nd2Dy3Er3 crystal.

Properties
density of states at the Fermi level: 18.84 states/eV/f.u.
V: 780 Å³ per cell
total magnetic moment: 0.2 μB per cell
energy above the lowest structure with this stoichiometry: 0.211 eV per atom
DFT formation energy: 0.234 eV per atom

Cell: 9.0225 9.0225 11.0621 Å, 90.00 90.00 120.00°
Last column: nearest neighbours and their distance in Å.
Space group R32 (No. 155, hexagonal axes)
One atom of each set of equivalent atoms:
Nd1 0.0000 0.0000 0.2492 [6 per cell]  6 Er 3.55-3.58, 6 Dy 3.55-3.59
Dy1 0.0000 0.7483 0.5000 [9 per cell]  2 Er 3.19, 2 Nd 3.55
Er1 0.0000 0.2484 0.0000 [9 per cell]  2 Dy 3.19, 2 Nd 3.55


[11]
The following is a DFT calculation (PBE) of a relaxed NdDy7Er4 crystal.

Properties
density of states at the Fermi level: 15.54 states/eV/f.u.
V: 377 Å³ per cell
total magnetic moment: 0.0 μB per cell
energy above the lowest structure with this stoichiometry: 0.000 eV per atom
DFT formation energy: -0.002 eV per atom

Cell: 6.1795 7.1395 8.7918 Å, 90.03 103.54 90.02°
Last column: nearest neighbours and their distance in Å.
Space group P-1 (No. 2)
One atom of each set of equivalent atoms:
Nd1 0.0000 0.0000 0.0000 [1 per cell]  10 Dy 3.53-3.58, 2 Er 3.54
Dy1 0.0000 0.5000 0.0000 [1 per cell]  4 Er 3.52-3.53, 6 Dy 3.53-3.56, 2 Nd 3.57
Dy2 0.2226 0.0002 0.6651 [2 per cell]  6 Dy 3.49-3.58, 5 Er 3.50-3.58, 1 Nd 3.53
Dy3 0.2792 0.7484 0.3359 [2 per cell]  6 Er 3.48-3.59, 5 Dy 3.49-3.58, 1 Nd 3.54
Dy4 0.4998 0.2515 0.0003 [2 per cell]  3 Er 3.52-3.53, 7 Dy 3.53-3.59, 2 Nd 3.57-3.58
Er1 0.2206 0.5001 0.6652 [2 per cell]  8 Dy 3.49-3.57, 4 Er 3.49-3.57
Er2 0.2786 0.2517 0.3354 [2 per cell]  8 Dy 3.48-3.59, 3 Er 3.49-3.57, 1 Nd 3.54


[12]
The following is a DFT calculation (PBE) of a relaxed Nd12DyEr5 crystal.

Properties
density of states at the Fermi level: 27.98 states/eV/f.u.
V: 607 Å³ per cell
total magnetic moment: 0.0 μB per cell
DFT formation energy: 0.022 eV per atom

Cell: 10.8618 5.1395 10.8795 Å, 90.00 90.31 90.00°
Last column: nearest neighbours and their distance in Å.
Space group P2/m (No. 10)
One atom of each set of equivalent atoms:
Nd1 0.0018 0.0000 0.1683 [2 per cell]  3 Er 3.60-3.61, 1 Dy 3.61, 8 Nd 3.63-3.67
Nd2 0.1651 0.5000 0.6652 [2 per cell]  2 Er 3.61, 2 Dy 3.61, 8 Nd 3.63-3.66
Nd3 0.1688 0.5000 0.0020 [2 per cell]  4 Er 3.60, 8 Nd 3.63-3.67
Nd4 0.3316 0.0000 0.4983 [2 per cell]  1 Dy 3.60, 3 Er 3.61, 8 Nd 3.63-3.67
Nd5 0.3357 0.0000 0.8355 [2 per cell]  4 Er 3.60-3.61, 8 Nd 3.63-3.67
Nd6 0.4979 0.5000 0.3314 [2 per cell]  4 Er 3.60-3.61, 8 Nd 3.63-3.67
Dy1 0.0000 0.0000 0.5000 [1 per cell]  8 Nd 3.60-3.61, 4 Er 3.63
Er1 0.1668 0.5000 0.3332 [2 per cell]  8 Nd 3.60-3.61, 2 Er 3.63, 2 Dy 3.63
Er2 0.3332 0.0000 0.1669 [2 per cell]  8 Nd 3.60-3.61, 4 Er 3.63-3.64
Er3 0.5000 0.5000 0.0000 [1 per cell]  8 Nd 3.60-3.61, 4 Er 3.64


[13]
The following is a DFT calculation (PBE) of a relaxed Nd2Dy3Er2 crystal.

Properties
density of states at the Fermi level: 10.58 states/eV/f.u.
V: 459 Å³ per cell
total magnetic moment: 0.0 μB per cell
energy above the lowest structure with this stoichiometry: 0.085 eV per atom
DFT formation energy: 0.123 eV per atom

Cell: 17.5253 3.5071 8.5407 Å, 90.00 119.06 90.00°
Last column: nearest neighbours and their distance in Å.
Space group C2/m (No. 12)
One atom of each set of equivalent atoms:
Nd1 0.0668 0.0000 0.2206 [4 per cell]  3 Nd 3.33-3.51, 5 Dy 3.44-3.60, 2 Er 3.61
Dy1 0.0000 0.5000 0.5000 [2 per cell]  4 Dy 3.32-3.51, 2 Er 3.55, 4 Nd 3.59
Dy2 0.2115 0.5000 0.6250 [4 per cell]  5 Dy 3.32-3.51, 3 Nd 3.44-3.60, 3 Er 3.56-3.59
Er1 0.1505 0.5000 0.9661 [4 per cell]  4 Er 3.51-3.69, 4 Dy 3.55-3.59, 4 Nd 3.61-3.77


[14]
The following is a DFT calculation (PBE) of a relaxed NdDyEr3 crystal.

Properties
density of states at the Fermi level: 8.18 states/eV/f.u.
V: 694 Å³ per cell
total magnetic moment: 0.0 μB per cell
energy above the lowest structure with this stoichiometry: 0.321 eV per atom
DFT formation energy: 0.332 eV per atom

Cell: 3.6262 16.5975 11.5298 Å, 90.00 90.00 90.00°
Last column: nearest neighbours and their distance in Å.
Space group Cmcm (No. 63)
One atom of each set of equivalent atoms:
Nd1 0.0000 0.1923 0.2500 [4 per cell]  6 Er 3.25-3.49, 2 Dy 3.41, 2 Nd 3.63
Dy1 0.0000 0.4816 0.7500 [4 per cell]  2 Er 3.26, 2 Nd 3.41, 2 Dy 3.63
Er1 0.0000 0.1449 0.7500 [4 per cell]  2 Nd 3.25, 2 Dy 3.26, 6 Er 3.39-3.63
Er2 0.0000 0.3459 0.0024 [8 per cell]  6 Er 3.39-3.66, 2 Nd 3.49, 1 Dy 3.68


[15]
The following is a DFT calculation (PBE) of a relaxed Nd9DyEr2 crystal.

Properties
density of states at the Fermi level: 19.79 states/eV/f.u.
V: 409 Å³ per cell
total magnetic moment: 0.0 μB per cell
DFT formation energy: 0.015 eV per atom

Cell: 5.1461 5.1461 15.4398 Å, 90.00 90.00 90.00°
Last column: nearest neighbours and their distance in Å.
Space group P4/mmm (No. 123)
One atom of each set of equivalent atoms:
Nd1 0.0000 0.0000 0.0000 [1 per cell]  4 Dy 3.64, 8 Nd 3.64
Nd2 0.0000 0.0000 0.3336 [2 per cell]  8 Nd 3.64, 4 Er 3.64
Nd3 0.0000 0.5000 0.1671 [4 per cell]  2 Er 3.64, 8 Nd 3.64, 2 Dy 3.64
Nd4 0.0000 0.5000 0.5000 [2 per cell]  8 Nd 3.64, 4 Er 3.64
Dy1 0.5000 0.5000 0.0000 [1 per cell]  12 Nd 3.64
Er1 0.5000 0.5000 0.3336 [2 per cell]  12 Nd 3.64


[16]
The following is a DFT calculation (PBE) of a relaxed Nd12Dy7Er crystal.

Properties
density of states at the Fermi level: 27.16 states/eV/f.u.
V: 2071 Å³ per cell
total magnetic moment: 0.0 μB per cell
energy above the lowest structure with this stoichiometry: 0.040 eV per atom
DFT formation energy: 0.269 eV per atom

Cell: 12.9408 12.9408 14.2788 Å, 90.00 90.00 120.00°
Last column: nearest neighbours and their distance in Å.
Space group R-3 (No. 148, hexagonal axes)
One atom of each set of equivalent atoms:
Nd1 0.0038 0.4342 0.2451 [18 per cell]  3 Dy 3.37-3.69, 4 Nd 3.43-3.76
Nd2 0.0649 0.8644 0.8498 [18 per cell]  2 Dy 3.14-3.15, 2 Nd 3.15-3.43
Dy1 0.0000 0.0000 0.0000 [3 per cell]  6 Nd 3.14
Dy2 0.0669 0.1947 0.3448 [18 per cell]  1 Er 3.14, 2 Nd 3.15-3.37, 1 Dy 3.22
Er1 0.0000 0.0000 0.5000 [3 per cell]  6 Dy 3.14


[17]
The following is a DFT calculation (PBE) of a relaxed Nd8Dy2Er crystal.

Properties
density of states at the Fermi level: 15.98 states/eV/f.u.
V: 769 Å³ per cell
total magnetic moment: 0.0 μB per cell
energy above the lowest structure with this stoichiometry: 0.035 eV per atom
DFT formation energy: 0.201 eV per atom

Cell: 14.3591 6.8175 8.6482 Å, 90.00 114.66 90.00°
Last column: nearest neighbours and their distance in Å.
Space group C2/m (No. 12)
One atom of each set of equivalent atoms:
Nd1 0.0936 0.2411 0.3827 [8 per cell]  4 Nd 3.29-3.66, 2 Dy 3.49-3.58, 1 Er 3.49
Nd2 0.1081 0.0000 0.9920 [4 per cell]  2 Nd 3.16-3.17, 1 Dy 3.30
Nd3 0.2407 0.0000 0.7768 [4 per cell]  1 Nd 3.17, 1 Er 3.40
Dy1 0.1445 0.5000 0.7570 [4 per cell]  8 Nd 3.30-3.66, 1 Er 3.52
Er1 0.0000 0.5000 0.0000 [2 per cell]  10 Nd 3.40-3.76, 2 Dy 3.52


[18]
The following is a DFT calculation (PBE) of a relaxed Nd7DyEr3 crystal.

Properties
density of states at the Fermi level: 17.99 states/eV/f.u.
V: 757 Å³ per cell
total magnetic moment: 0.0 μB per cell
energy above the lowest structure with this stoichiometry: 0.000 eV per atom
DFT formation energy: 0.135 eV per atom

Cell: 7.1158 18.5715 6.7410 Å, 90.00 121.85 90.00°
Last column: nearest neighbours and their distance in Å.
Space group C2/m (No. 12)
One atom of each set of equivalent atoms:
Nd1 0.0000 0.0000 0.0000 [2 per cell]  2 Dy 3.37, 2 Er 3.37
Nd2 0.0000 0.4127 0.0000 [4 per cell]  3 Nd 3.24-3.49, 2 Er 3.51
Nd3 0.2203 0.1623 0.4403 [8 per cell]  4 Nd 3.33-3.62, 3 Er 3.49-3.52, 1 Dy 3.52
Dy1 0.0000 0.0000 0.5000 [2 per cell]  10 Nd 3.37-3.74, 2 Er 3.56
Er1 0.0000 0.5000 0.5000 [2 per cell]  10 Nd 3.37-3.74, 2 Dy 3.56
Er2 0.2500 0.2500 0.0000 [4 per cell]  6 Nd 3.49-3.51, 2 Er 3.56